Computed, not measured: crystalline Al2OsRh at its relaxed geometry at the GGA-PBEsol level of DFT.

Output
final energy	-7.89	eV per atom
size of the total moment	0.000	μB/cell
N(E_F)	1.67	states/eV/cell
formation energy from the elements	-17.33	kcal/mol of atoms
calculated density	10.89	g cm⁻³

a b c (Å): 4.2138 4.2138 4.2138
angles (deg): 60.00 60.00 60.00
With the nearest neighbours (Å) after each atom.
Positions (direct):
Al (0.7500, 0.7500, 0.7500)  4 Os 2.58, 4 Rh 2.58
Al (0.2500, 0.2500, 0.2500)  4 Os 2.58, 4 Rh 2.58
Rh (0.0000, 0.0000, 0.0000)  8 Al 2.58
Os (0.5000, 0.5000, 0.5000)  8 Al 2.58



Computed, not measured: crystalline Al2OsRh at its relaxed geometry at the GGA-PBEsol level of DFT.

Output
final energy	-7.50	eV per atom
size of the total moment	0.000	μB/cell
N(E_F)	3.08	states/eV/cell
formation energy from the elements	-8.54	kcal/mol of atoms
calculated density	10.49	g cm⁻³

a b c (Å): 3.6175 3.6175 4.9169
angles (deg): 111.58 111.58 90.00
With the nearest neighbours (Å) after each atom.
Positions (direct):
Rh (0.2500, 0.7500, 0.5000)  8 Al 2.56-2.77, 4 Os 2.77
Al (0.7500, 0.2500, 0.5000)  4 Rh 2.56, 4 Os 2.77, 4 Al 2.77
Al (0.0000, 0.0000, 0.0000)  4 Os 2.56, 4 Al 2.77, 4 Rh 2.77
Os (0.5000, 0.5000, 0.0000)  8 Al 2.56-2.77, 4 Rh 2.77